# BaPH SCAN PBEsol geometry
data_BaPH
_cell_length_a 4.8564
_cell_length_b 4.8564
_cell_length_c 10.4466
_cell_angle_alpha 90.00
_cell_angle_beta 90.00
_cell_angle_gamma 120.00
_space_group_name_H-M_alt 'R 3 m'
_space_group_IT_number 160
_space_group_name_Hall 'R 3 -2"'
loop_
_atom_site_label
_atom_site_fract_x
_atom_site_fract_y
_atom_site_fract_z
_atom_site_occupancy
Ba1 0.0000 0.0000 0.0000 1
P1 0.0000 0.0000 0.4963 1
H1 0.0000 0.0000 0.3565 1
# Total DFT energy (no corrections) in eV per atom: -18.67
# Calculated volume in Å³ per atom: 23.7
# Size of the total moment in μB per formula unit: 0.000